Below is crystalline Tc2PbO3F6 at its relaxed geometry, with properties calculated at the PBE level.

The crystal system is monoclinic. As for the energy relative to the elements, uncorrected: -46.1 kcal/mol of atoms. The total moment comes out at 0.00 μB per cell.

The structure belongs to space group C2/m (No. 12); the cell edges are 9.725, 5.659 and 7.728 Å and the angles 90.00°, 90.36° and 90.00°. The inequivalent atoms are Tc at (0.167, 0.000, 0.385), Pb at (0.000, 0.500, 0.000), O at (0.000, 0.000, 0.500), O at (0.250, 0.250, 0.500), F at (0.088, 0.231, 0.217) and F at (0.180, 0.500, 0.782).